No. 1
Density functional theory data (PBE) for a geometry-optimized K2AgSbCl8 structure.

Summary:
SG   P-1, No. 2
Crystal system   triclinic
Magnetic moment   0.0 μB per formula unit
Formation energy (no corrections)   -1087 meV/atom

abc: 6.2514 7.1845 9.5500
angles: 76.45 72.58 74.74
Fractional positions:
1 K 0.1273 0.0542 0.1910
2 K 0.8727 0.9458 0.8090
3 Ag 0.5000 0.5000 0.0000
4 Sb 0.0000 0.5000 0.5000
5 Cl 0.0616 0.4990 0.7397
6 Cl 0.2271 0.1707 0.4998
7 Cl 0.3347 0.6325 0.3715
8 Cl 0.3557 0.8368 0.9167
9 Cl 0.6443 0.1632 0.0833
10 Cl 0.6653 0.3675 0.6285
11 Cl 0.7729 0.8293 0.5002
12 Cl 0.9384 0.5010 0.2603

***

No. 2
Density functional theory data (PBE) for a geometry-optimized KAg2SbCl6 structure.

Summary:
SG   R3, No. 146
Crystal system   trigonal
N(E_F)   0.00 states/eV per atom
Magnetic moment   0.0 μB per formula unit
Formation energy (no corrections)   -918 meV/atom

abc: 7.6255 7.6255 7.6255
angles: 56.46 56.46 56.46
Fractional positions:
1 K 0.0000 0.0000 0.0000
2 Ag 0.2701 0.2701 0.2701
3 Ag 0.8035 0.8035 0.8035
4 Sb 0.4780 0.4780 0.4780
5 Cl 0.0894 0.6435 0.4480
6 Cl 0.2074 0.5593 0.8849
7 Cl 0.4480 0.0894 0.6435
8 Cl 0.5593 0.8849 0.2074
9 Cl 0.6435 0.4480 0.0894
10 Cl 0.8849 0.2074 0.5593

***

No. 3
Density functional theory data (PBE) for a geometry-optimized K3ScAg2Cl9 structure.

Summary:
SG   P-3m1, No. 164
Crystal system   trigonal
N(E_F)   0.49 states/eV per atom
Magnetic moment   0.1 μB per formula unit
Formation energy (no corrections)   -1476 meV/atom

abc: 7.3098 7.3098 9.0416
angles: 90.00 90.00 120.00
Fractional positions:
1 K 0.0000 0.0000 0.0000
2 K 0.3333 0.6667 0.6985
3 K 0.6667 0.3333 0.3015
4 Sc 0.0000 0.0000 0.5000
5 Ag 0.3333 0.6667 0.1640
6 Ag 0.6667 0.3333 0.8360
7 Cl 0.0000 0.5000 0.0000
8 Cl 0.1606 0.3212 0.3406
9 Cl 0.1606 0.8394 0.3406
10 Cl 0.3212 0.1606 0.6594
11 Cl 0.5000 0.0000 0.0000
12 Cl 0.5000 0.5000 0.0000
13 Cl 0.6788 0.8394 0.3406
14 Cl 0.8394 0.1606 0.6594
15 Cl 0.8394 0.6788 0.6594

***

No. 4
Density functional theory data (PBE) for a geometry-optimized KScAgCl6 structure.

Summary:
SG   C2, No. 5
Crystal system   monoclinic
N(E_F)   0.13 states/eV per atom
Magnetic moment   1.1 μB per formula unit
Formation energy (no corrections)   -1492 meV/atom

abc: 6.6171 6.6171 6.9072
angles: 92.10 92.10 115.60
Fractional positions:
1 K 0.0000 0.0000 0.0000
2 Sc 0.3346 0.6654 0.5000
3 Ag 0.6783 0.3217 0.5000
4 Cl 0.0302 0.3623 0.6847
5 Cl 0.0452 0.6390 0.2639
6 Cl 0.3610 0.9548 0.7361
7 Cl 0.3934 0.3717 0.2842
8 Cl 0.6283 0.6066 0.7158
9 Cl 0.6377 0.9698 0.3153

***

No. 5
Density functional theory data (PBE) for a geometry-optimized KScAg2Cl6 structure.

Summary:
SG   R3, No. 146
Crystal system   trigonal
N(E_F)   0.00 states/eV per atom
Magnetic moment   0.0 μB per formula unit
Formation energy (no corrections)   -1407 meV/atom

abc: 7.5124 7.5124 7.5124
angles: 55.62 55.62 55.62
Fractional positions:
1 K 0.0000 0.0000 0.0000
2 Sc 0.4857 0.4857 0.4857
3 Ag 0.2869 0.2869 0.2869
4 Ag 0.8026 0.8026 0.8026
5 Cl 0.1044 0.6619 0.4430
6 Cl 0.2524 0.5554 0.8619
7 Cl 0.4430 0.1044 0.6619
8 Cl 0.5554 0.8619 0.2524
9 Cl 0.6619 0.4430 0.1044
10 Cl 0.8619 0.2524 0.5554

***

No. 6
Density functional theory data (PBE) for a geometry-optimized KScAgCl5 structure.

Summary:
SG   C2/c, No. 15
Crystal system   monoclinic
N(E_F)   0.00 states/eV per atom
Magnetic moment   0.0 μB per formula unit
Formation energy (no corrections)   -1667 meV/atom

abc: 7.4198 7.4198 9.7603
angles: 101.60 101.60 110.65
Fractional positions:
1 K 0.1610 0.8390 0.7500
2 K 0.8390 0.1610 0.2500
3 Sc 0.5000 0.5000 0.0000
4 Sc 0.5000 0.5000 0.5000
5 Ag 0.1886 0.8114 0.2500
6 Ag 0.8114 0.1886 0.7500
7 Cl 0.1453 0.2513 0.9397
8 Cl 0.2106 0.5900 0.4183
9 Cl 0.2513 0.1453 0.4397
10 Cl 0.4100 0.7894 0.0817
11 Cl 0.4384 0.5616 0.7500
12 Cl 0.5616 0.4384 0.2500
13 Cl 0.5900 0.2106 0.9183
14 Cl 0.7487 0.8547 0.5603
15 Cl 0.7894 0.4100 0.5817
16 Cl 0.8547 0.7487 0.0603

***

Q: Which value of magnetic moment does entry 3 give?
A: 0.1 μB per formula unit

***

Q: What is the formula in the sixth record?
A: KScAgCl5

***

Q: Among the records above, which one has the highest formation energy (no corrections)?
A: KAg2SbCl6

***

Q: formation energy (no corrections) of number 2 (KAg2SbCl6)?
A: -918 meV/atom